The following is a DFT calculation (PBE) of a relaxed structure of Ni2OsBr.

Summary:
mass density = 11.4 g/cm³
space group = I4/mmm, No. 139
M_tot = 0.01 Bohr magnetons per cell
uncorrected formation energy = 1.106 eV/atom
VASP energy = -20.04 eV/cell
volume = 14.06 Å³/atom

Unit cell a=4.588 b=4.588 c=4.588 alpha=129.39 beta=129.39 gamma=74.39
Fractional positions:
1 Br 0.750 0.250 0.500
2 Ni 0.000 0.000 0.000
3 Ni 0.500 0.500 0.000
4 Os 0.250 0.750 0.500